Record 1
Compound: Ta5Ru4W
Source: the Alexandria database
Functional: PBE-GGA
Structure: optimized geometry

a b c (Å): 3.221 3.221 15.650
angles (deg): 90.00 90.00 90.00
Fractional positions:
Ta 0.500 0.500 0.100
Ta 0.500 0.500 0.302
Ta 0.500 0.500 0.500
Ta 0.500 0.500 0.698
Ta 0.500 0.500 0.900
Ru 0.000 0.000 0.206
Ru 0.000 0.000 0.402
Ru 0.000 0.000 0.598
Ru 0.000 0.000 0.794
W 0.000 0.000 0.000

ΔH_f (0 K) ... -296.8 meV per atom
SG ... P4/mmm, No. 123
Spin magnetization ... 0.00 μB per formula unit

=====

Record 2
Compound: Tl2BAu
Source: the Alexandria database
Functional: PBE-GGA
Structure: optimized geometry

a b c (Å): 4.972 4.972 4.972
angles (deg): 60.00 60.00 60.00
Fractional positions:
Tl 0.250 0.250 0.250
Tl 0.750 0.750 0.750
B 0.000 0.000 0.000
Au 0.500 0.500 0.500

Energy relative to the lowest polymorph listed for this composition ... 242 meV per atom
ΔH_f (0 K) ... 971.7 meV per atom
SG ... Fm-3m, No. 225
Spin magnetization ... 0.00 μB per formula unit

=====

Record 3
Compound: LiTiO2
Source: the Alexandria database
Functional: PBE-GGA
Structure: optimized geometry

a b c (Å): 2.975 2.975 3.991
angles (deg): 90.00 90.00 90.00
Fractional positions:
Li 0.000 0.000 0.500
O 0.000 0.000 0.000
O 0.500 0.500 0.500
Ti 0.500 0.500 0.000

Formation energy (no corrections) ... -2.591 eV/atom
SG ... P4/mmm, No. 123
Spin magnetization ... 0.16 μB per formula unit

=====

Record 4
Compound: Cr2PbW2
Source: the Alexandria database
Functional: PBE-GGA
Structure: optimized geometry

a b c (Å): 7.510 7.510 2.969
angles (deg): 90.00 90.00 90.00
Fractional positions:
Pb 0.000 0.000 0.000
Pb 0.500 0.500 0.000
Cr 0.367 0.867 0.000
Cr 0.867 0.633 0.000
Cr 0.633 0.133 0.000
Cr 0.133 0.367 0.000
W 0.145 0.645 0.500
W 0.645 0.855 0.500
W 0.855 0.355 0.500
W 0.355 0.145 0.500

Energy relative to the lowest polymorph listed for this composition ... 8 meV per atom
ΔH_f (0 K) ... 743.5 meV per atom
SG ... P4/mbm, No. 127
Spin magnetization ... 1.85 μB per formula unit